# 1
The following is a PBE calculation of a relaxed ThSb2Pd crystal, from the Alexandria database.

It has space group Pnma (No. 62), with a = 6.515 Å, b = 4.483 Å, c = 14.640 Å, α = 90.00°, β = 90.00° and γ = 90.00°. Symmetry generates all atoms from Th at (0.240, 0.250, 0.135), Sb at (0.024, 0.250, 0.757), Sb at (0.197, 0.250, 0.454) and Pd at (0.049, 0.250, 0.943).

For the uncorrected formation energy, the calculation gives -706.3 meV per atom. The density of states at the Fermi level comes out at 6.814 states/eV per cell. As for the volume: 427.5 Å³ per cell.

# 2
The following is a PBE calculation of a relaxed ThSb2Pd6 crystal, from the Alexandria database.

It has space group P-31m (No. 162), with a = 5.5911 Å, b = 5.5911 Å, c = 7.1298 Å, α = 90.00°, β = 90.00° and γ = 120.00°. Symmetry generates all atoms from Th at (0.0000, 0.0000, 0.0000), Sb at (0.3333, 0.6667, 0.5000) and Pd at (0.0000, 0.4991, 0.8062).

As for the energy above the most stable polymorph in this dataset: 28 meV/atom. For the uncorrected formation energy, the calculation gives -481.0 meV per atom. The density of states at the Fermi level comes out at 4.721 states/eV per cell. As for the volume: 193.0 Å³ per cell.

# 3
The following is a PBE calculation of a relaxed Th3Sb2Pd7 crystal, from the Alexandria database.

It has space group I4/mmm (No. 139), with a = 4.204 Å, b = 4.204 Å, c = 29.011 Å, α = 90.00°, β = 90.00° and γ = 90.00°. Symmetry generates all atoms from Th at (0.000, 0.000, 0.000), Th at (0.000, 0.000, 0.175), Sb at (0.000, 0.000, 0.368), Pd at (0.000, 0.000, 0.271), Pd at (0.000, 0.000, 0.500) and Pd at (0.000, 0.500, 0.072).

For the uncorrected formation energy, the calculation gives -748.7 meV per atom. The density of states at the Fermi level comes out at 8.416 states/eV per cell. As for the volume: 512.6 Å³ per cell.